Record 1
{
  "formula": "La2ReAs",
  "functional": "PBE",
  "state": "relaxed",
  "ef_ev_per_fu": 0.39,
  "sg": "F-43m (216)",
  "energy_ev_per_atom": -6.641,
  "cell": [[0.0000, 3.5414, 3.5414], [3.5414, 0.0000, 3.5414], [3.5414, 3.5414, 0.0000]],
  "species": ["La", "La", "Re", "As"],
  "frac_coords": [[0.0000, 0.0000, 0.0000], [0.2500, 0.2500, 0.2500], [0.5000, 0.5000, 0.5000], [0.7500, 0.7500, 0.7500]]
}

***

Record 2
{
  "formula": "LaRe2As2",
  "functional": "PBE",
  "state": "relaxed",
  "ef_ev_per_fu": -1.51,
  "sg": "I4/mmm (139)",
  "energy_ev_per_atom": -8.127,
  "cell": [[-2.1545, 2.1545, 5.2585], [2.1545, -2.1545, 5.2585], [2.1545, 2.1545, -5.2585]],
  "species": ["La", "Re", "Re", "As", "As"],
  "frac_coords": [[0.0000, 0.0000, 0.0000], [0.2500, 0.7500, 0.5000], [0.7500, 0.2500, 0.5000], [0.3660, 0.3660, 0.0000], [0.6340, 0.6340, 0.0000]]
}

***

Record 3
{
  "formula": "La2ReAs",
  "functional": "PBE",
  "state": "relaxed",
  "ef_ev_per_fu": 0.00,
  "sg": "I-4m2 (119)",
  "energy_ev_per_atom": -6.737,
  "cell": [[-2.1793, 2.1793, 5.0836], [2.1793, -2.1793, 5.0836], [2.1793, 2.1793, -5.0836]],
  "species": ["La", "La", "Re", "As"],
  "frac_coords": [[0.0000, 0.0000, 0.0000], [0.7500, 0.2500, 0.5000], [0.2500, 0.7500, 0.5000], [0.5000, 0.5000, 0.0000]]
}

***

Record 4
{
  "formula": "La2ReAs",
  "functional": "PBE",
  "state": "relaxed",
  "ef_ev_per_fu": -0.80,
  "sg": "P4/mmm (123)",
  "energy_ev_per_atom": -6.937,
  "cell": [[3.8184, 0.0000, 0.0000], [0.0000, 3.8184, 0.0000], [0.0000, 0.0000, 6.6976]],
  "species": ["La", "La", "Re", "As"],
  "frac_coords": [[0.0000, 0.0000, 0.2492], [0.0000, 0.0000, 0.7508], [0.5000, 0.5000, 0.5000], [0.5000, 0.5000, 0.0000]]
}